*one*
## Zr2Be2Co (PBE)

Data for a geometry-optimized Zr2Be2Co structure.

Results
mass density	5.918	g/cm³
total magnetic moment	0.00	Bohr magnetons per cell

Structure (CIF):
```
data_Zr2Be2Co
_chemical_formula_sum 'Zr4 Be4 Co2'
_symmetry_space_group_name_H-M 'P 4/m b m'
_symmetry_Int_Tables_number 127
_symmetry_space_group_name_Hall '-P 4 2ab'
_cell_length_a 6.324
_cell_length_b 6.324
_cell_length_c 3.640
_cell_angle_alpha 90.00
_cell_angle_beta 90.00
_cell_angle_gamma 90.00
loop_
_atom_site_label
_atom_site_type_symbol
_atom_site_fract_x
_atom_site_fract_y
_atom_site_fract_z
Zr1 Zr 0.178 0.322 0.000
Be1 Be 0.121 0.621 0.500
Co1 Co 0.000 0.000 0.500
```

*two*
## Zr2Be2Co (PBE)

Data for a geometry-optimized Zr2Be2Co structure.

Results
mass density	5.939	g/cm³
total magnetic moment	0.00	Bohr magnetons per cell

Structure (CIF):
```
data_Zr2Be2Co
_chemical_formula_sum 'Zr8 Be8 Co4'
_symmetry_space_group_name_H-M 'C 1 2/m 1'
_symmetry_Int_Tables_number 12
_cell_length_a 9.270
_cell_length_b 3.853
_cell_length_c 9.346
_cell_angle_alpha 90.00
_cell_angle_beta 119.64
_cell_angle_gamma 90.00
loop_
_symmetry_equiv_pos_as_xyz
'x,y,z'
'-x,-y,-z'
'-x,y,-z'
'x,-y,z'
'x+1/2,y+1/2,z'
'-x+1/2,-y+1/2,-z'
'-x+1/2,y+1/2,-z'
'x+1/2,-y+1/2,z'
loop_
_atom_site_label
_atom_site_type_symbol
_atom_site_fract_x
_atom_site_fract_y
_atom_site_fract_z
Zr1 Zr 0.088 0.000 0.395
Zr2 Zr 0.177 0.500 0.179
Be1 Be 0.079 0.000 0.936
Be2 Be 0.115 0.500 0.617
Co1 Co 0.151 0.500 0.877
```

Least stable structure: *one*

*one*
## BeCr5 (PBE)

Data for a geometry-optimized BeCr5 structure.

Results
mass density	6.615	g/cm³
total magnetic moment	0.00	Bohr magnetons per cell

Structure (CIF):
```
data_BeCr5
_chemical_formula_sum 'Be2 Cr10'
_symmetry_space_group_name_H-M 'C 1 m 1'
_symmetry_Int_Tables_number 8
_cell_length_a 9.496
_cell_length_b 2.335
_cell_length_c 6.276
_cell_angle_alpha 90.00
_cell_angle_beta 103.96
_cell_angle_gamma 90.00
loop_
_symmetry_equiv_pos_as_xyz
'x,y,z'
'x,-y,z'
'x+1/2,y+1/2,z'
'x+1/2,-y+1/2,z'
loop_
_atom_site_label
_atom_site_type_symbol
_atom_site_fract_x
_atom_site_fract_y
_atom_site_fract_z
Be1 Be 0.000 0.000 0.000
Cr1 Cr 0.089 0.500 0.705
Cr2 Cr 0.164 0.500 0.331
Cr3 Cr 0.268 0.000 0.026
Cr4 Cr 0.338 0.000 0.678
Cr5 Cr 0.432 0.500 0.355
```

*two*
## BeCr5 (PBE)

Data for a geometry-optimized BeCr5 structure.

Results
mass density	6.642	g/cm³
total magnetic moment	3.15	Bohr magnetons per cell

Structure (CIF):
```
data_BeCr5
_chemical_formula_sum 'Be2 Cr10'
_symmetry_space_group_name_H-M 'C m m m'
_symmetry_Int_Tables_number 65
_symmetry_space_group_name_Hall '-C 2 2'
_cell_length_a 3.941
_cell_length_b 11.853
_cell_length_c 2.879
_cell_angle_alpha 90.00
_cell_angle_beta 90.00
_cell_angle_gamma 90.00
loop_
_atom_site_label
_atom_site_type_symbol
_atom_site_fract_x
_atom_site_fract_y
_atom_site_fract_z
Be1 Be 0.000 0.000 0.000
Cr1 Cr 0.000 0.166 0.500
Cr2 Cr 0.000 0.338 0.000
Cr3 Cr 0.000 0.500 0.500
```

Least stable structure: *one*

*one*
## BeCr5 (PBE)

Data for a geometry-optimized BeCr5 structure.

Results
mass density	6.617	g/cm³
total magnetic moment	0.00	Bohr magnetons per cell

Structure (CIF):
```
data_BeCr5
_chemical_formula_sum 'Be2 Cr10'
_symmetry_space_group_name_H-M 'A m m 2'
_symmetry_Int_Tables_number 38
_cell_length_a 4.124
_cell_length_b 2.319
_cell_length_c 14.121
_cell_angle_alpha 90.00
_cell_angle_beta 90.00
_cell_angle_gamma 90.00
loop_
_symmetry_equiv_pos_as_xyz
'x,y,z'
'-x,-y,z'
'-x,y,z'
'x,-y,z'
'x,y+1/2,z+1/2'
'-x,-y+1/2,z+1/2'
'-x,y+1/2,z+1/2'
'x,-y+1/2,z+1/2'
loop_
_atom_site_label
_atom_site_type_symbol
_atom_site_fract_x
_atom_site_fract_y
_atom_site_fract_z
Be1 Be 0.000 0.000 0.000
Cr1 Cr 0.000 0.000 0.334
Cr2 Cr 0.000 0.000 0.657
Cr3 Cr 0.500 0.000 0.237
Cr4 Cr 0.500 0.000 0.565
Cr5 Cr 0.500 0.000 0.905
```

*two*
## BeCr5 (PBE)

Data for a geometry-optimized BeCr5 structure.

Results
mass density	6.351	g/cm³
total magnetic moment	0.00	Bohr magnetons per cell

Structure (CIF):
```
data_BeCr5
_chemical_formula_sum 'Be4 Cr20'
_symmetry_space_group_name_H-M 'F -4 3 m'
_symmetry_Int_Tables_number 216
_symmetry_space_group_name_Hall 'F -4 2 3'
_cell_length_a 6.552
_cell_length_b 6.552
_cell_length_c 6.552
_cell_angle_alpha 90.00
_cell_angle_beta 90.00
_cell_angle_gamma 90.00
loop_
_atom_site_label
_atom_site_type_symbol
_atom_site_fract_x
_atom_site_fract_y
_atom_site_fract_z
Be1 Be 0.000 0.000 0.000
Cr1 Cr 0.126 0.126 0.626
Cr2 Cr 0.250 0.250 0.250
```

*three*
## BeCr5 (PBE)

Data for a geometry-optimized BeCr5 structure.

Results
mass density	6.623	g/cm³
total magnetic moment	0.00	Bohr magnetons per cell

Structure (CIF):
```
data_BeCr5
_chemical_formula_sum 'Be1 Cr5'
_symmetry_space_group_name_H-M 'P -6 2 m'
_symmetry_Int_Tables_number 189
_symmetry_space_group_name_Hall 'P -6 -2'
_cell_length_a 4.2948
_cell_length_b 4.2948
_cell_length_c 4.2221
_cell_angle_alpha 90.00
_cell_angle_beta 90.00
_cell_angle_gamma 120.00
loop_
_atom_site_label
_atom_site_type_symbol
_atom_site_fract_x
_atom_site_fract_y
_atom_site_fract_z
Be1 Be 0.0000 0.0000 0.0000
Cr1 Cr 0.0000 0.6746 0.5000
Cr2 Cr 0.3333 0.6667 0.0000
```

Least stable structure: *three*

*one*
## Be5Cr3 (PBE)

Data for a geometry-optimized Be5Cr3 structure.

Results
mass density	4.269	g/cm³
total magnetic moment	0.00	Bohr magnetons per cell

Structure (CIF):
```
data_Be5Cr3
_chemical_formula_sum 'Be10 Cr6'
_symmetry_space_group_name_H-M 'P 63/m c m'
_symmetry_Int_Tables_number 193
_symmetry_space_group_name_Hall '-P 6c 2'
_cell_length_a 6.5852
_cell_length_b 6.5852
_cell_length_c 4.1646
_cell_angle_alpha 90.00
_cell_angle_beta 90.00
_cell_angle_gamma 120.00
loop_
_atom_site_label
_atom_site_type_symbol
_atom_site_fract_x
_atom_site_fract_y
_atom_site_fract_z
Be1 Be 0.0000 0.2061 0.2500
Be2 Be 0.3333 0.6667 0.0000
Cr1 Cr 0.0000 0.4089 0.7500
```

*two*
## Be5Cr3 (PBE)

Data for a geometry-optimized Be5Cr3 structure.

Results
mass density	4.331	g/cm³
total magnetic moment	0.00	Bohr magnetons per cell

Structure (CIF):
```
data_Be5Cr3
_chemical_formula_sum 'Be10 Cr6'
_symmetry_space_group_name_H-M 'P -1'
_symmetry_Int_Tables_number 2
_cell_length_a 4.168
_cell_length_b 6.426
_cell_length_c 6.427
_cell_angle_alpha 83.98
_cell_angle_beta 71.16
_cell_angle_gamma 71.10
loop_
_symmetry_equiv_pos_as_xyz
'x,y,z'
'-x,-y,-z'
loop_
_atom_site_label
_atom_site_type_symbol
_atom_site_fract_x
_atom_site_fract_y
_atom_site_fract_z
Be1 Be 0.054 0.177 0.212
Be2 Be 0.231 0.823 0.214
Be3 Be 0.250 0.001 0.500
Be4 Be 0.268 0.287 0.678
Be5 Be 0.445 0.286 0.323
Cr1 Cr 0.196 0.603 0.504
Cr2 Cr 0.270 0.500 0.000
Cr3 Cr 0.301 0.004 0.897
```

Least stable structure: *one*